[1]
Here is a relaxed structure of Hf2Sc2Cd from OQMD. Energies are from PBE.

Properties
The space group is Cmcm, No. 63. The formation enthalpy at 0 K comes out at 226.1 meV per atom.

Structure (POSCAR):
```
Hf2Sc2Cd
1.0
2.4401 -4.2454 0.0000
2.4401 4.2454 0.0000
0.0000 0.0000 11.8481
Hf Sc Cd
4 4 2
Direct
0.1664 0.8336 0.5127 Hf
0.1664 0.8336 0.9873 Hf
0.8336 0.1664 0.0127 Hf
0.8336 0.1664 0.4873 Hf
0.4989 0.5011 0.6195 Sc
0.4989 0.5011 0.8805 Sc
0.5011 0.4989 0.1195 Sc
0.5011 0.4989 0.3805 Sc
0.1701 0.8299 0.2500 Cd
0.8299 0.1701 0.7500 Cd
```



[2]
Here is a relaxed structure of HfScCd2 from OQMD. Energies are from PBE.

Properties
The space group is F-43m, No. 216. The formation enthalpy at 0 K comes out at 187.3 meV per atom.

Structure (POSCAR):
```
HfScCd2
1.0
0.0000 3.5131 3.5131
3.5131 0.0000 3.5131
3.5131 3.5131 0.0000
Hf Sc Cd
1 1 2
Direct
0.0000 0.0000 0.0000 Hf
0.7500 0.7500 0.7500 Sc
0.2500 0.2500 0.2500 Cd
0.5000 0.5000 0.5000 Cd
```



[3]
Here is a relaxed structure of Hf2ScCd from OQMD. Energies are from PBE.

Properties
The space group is F-43m, No. 216. The formation enthalpy at 0 K comes out at 145.1 meV per atom.

Structure (POSCAR):
```
Hf2ScCd
1.0
0.0000 3.5128 3.5128
3.5128 0.0000 3.5128
3.5128 3.5128 0.0000
Hf Sc Cd
2 1 1
Direct
0.0000 0.0000 0.0000 Hf
0.2500 0.2500 0.2500 Hf
0.5000 0.5000 0.5000 Sc
0.7500 0.7500 0.7500 Cd
```



[4]
Here is a relaxed structure of HfScCd from OQMD. Energies are from PBE.

Properties
The space group is F-43m, No. 216. The formation enthalpy at 0 K comes out at 446.6 meV per atom.

Structure (POSCAR):
```
HfScCd
1.0
0.0000 3.3615 3.3615
3.3615 0.0000 3.3615
3.3615 3.3615 0.0000
Hf Sc Cd
1 1 1
Direct
0.0000 0.0000 0.0000 Hf
0.5000 0.5000 0.5000 Sc
0.2500 0.2500 0.2500 Cd
```



[5]
Here is a relaxed structure of HfSc2Cd from OQMD. Energies are from PBE.

Properties
The space group is F-43m, No. 216. The formation enthalpy at 0 K comes out at 98.3 meV per atom.

Structure (POSCAR):
```
HfSc2Cd
1.0
0.0000 3.5444 3.5444
3.5444 0.0000 3.5444
3.5444 3.5444 0.0000
Hf Sc Cd
1 2 1
Direct
0.0000 0.0000 0.0000 Hf
0.2500 0.2500 0.2500 Sc
0.5000 0.5000 0.5000 Sc
0.7500 0.7500 0.7500 Cd
```



[6]
Here is a relaxed structure of HfCd2Si from OQMD. Energies are from PBE.

Properties
The raw total energy is -4.0522 eV/atom. The space group is F-43m, No. 216.

Structure (POSCAR):
```
HfCd2Si
1.0
0.0000 3.4004 3.4004
3.4004 0.0000 3.4004
3.4004 3.4004 0.0000
Hf Cd Si
1 2 1
Direct
0.0000 0.0000 0.0000 Hf
0.2500 0.2500 0.2500 Cd
0.5000 0.5000 0.5000 Cd
0.7500 0.7500 0.7500 Si
```



[7]
Here is a relaxed structure of HfCdSn2 from OQMD. Energies are from PBE.

Properties
The raw total energy is -4.4592 eV/atom. The space group is F-43m, No. 216.

Structure (POSCAR):
```
HfCdSn2
1.0
0.0000 3.6480 3.6480
3.6480 0.0000 3.6480
3.6480 3.6480 0.0000
Hf Cd Sn
1 1 2
Direct
0.0000 0.0000 0.0000 Hf
0.2500 0.2500 0.2500 Cd
0.5000 0.5000 0.5000 Sn
0.7500 0.7500 0.7500 Sn
```



[8]
Here is a relaxed structure of HfCdSn2 from OQMD. Energies are from PBE.

Properties
The raw total energy is -4.4591 eV/atom. The space group is F-43m, No. 216.

Structure (POSCAR):
```
HfCdSn2
1.0
0.0000 3.6479 3.6479
3.6479 0.0000 3.6479
3.6479 3.6479 0.0000
Hf Cd Sn
1 1 2
Direct
0.0000 0.0000 0.0000 Hf
0.7500 0.7500 0.7500 Cd
0.2500 0.2500 0.2500 Sn
0.5000 0.5000 0.5000 Sn
```



[9]
Here is a relaxed structure of Sr2HfCd from OQMD. Energies are from PBE.

Properties
The raw total energy is -3.0773 eV/atom. The space group is F-43m, No. 216.

Structure (POSCAR):
```
Sr2HfCd
1.0
0.0000 3.9544 3.9544
3.9544 0.0000 3.9544
3.9544 3.9544 0.0000
Sr Hf Cd
2 1 1
Direct
0.0000 0.0000 0.0000 Sr
0.2500 0.2500 0.2500 Sr
0.7500 0.7500 0.7500 Hf
0.5000 0.5000 0.5000 Cd
```



[10]
Here is a relaxed structure of Hf2CdTc from OQMD. Energies are from PBE.

Properties
The space group is F-43m, No. 216. The formation enthalpy at 0 K comes out at 126.2 meV per atom.

Structure (POSCAR):
```
Hf2CdTc
1.0
0.0000 3.3473 3.3473
3.3473 0.0000 3.3473
3.3473 3.3473 0.0000
Hf Cd Tc
2 1 1
Direct
0.0000 0.0000 0.0000 Hf
0.2500 0.2500 0.2500 Hf
0.7500 0.7500 0.7500 Cd
0.5000 0.5000 0.5000 Tc
```



[11]
Here is a relaxed structure of HfCd2Tc from OQMD. Energies are from PBE.

Properties
The space group is F-43m, No. 216. The formation enthalpy at 0 K comes out at 204.5 meV per atom.

Structure (POSCAR):
```
HfCd2Tc
1.0
0.0000 3.3457 3.3457
3.3457 0.0000 3.3457
3.3457 3.3457 0.0000
Hf Cd Tc
1 2 1
Direct
0.0000 0.0000 0.0000 Hf
0.2500 0.2500 0.2500 Cd
0.5000 0.5000 0.5000 Cd
0.7500 0.7500 0.7500 Tc
```



[12]
Here is a relaxed structure of HfCdTe2 from OQMD. Energies are from PBE.

Properties
The raw total energy is -4.0386 eV/atom. The space group is F-43m, No. 216.

Structure (POSCAR):
```
HfCdTe2
1.0
0.0000 3.6974 3.6974
3.6974 0.0000 3.6974
3.6974 3.6974 0.0000
Hf Cd Te
1 1 2
Direct
0.0000 0.0000 0.0000 Hf
0.7500 0.7500 0.7500 Cd
0.2500 0.2500 0.2500 Te
0.5000 0.5000 0.5000 Te
```